[1]
Entry from Alexandria via LeMat-Bulk: an optimized crystal structure of BaAg2B (PBE-GGA).

Cell: 5.470 5.470 7.968 Å, 69.93 69.93 90.00°
Element x y z (fractional)
1 B 0.500 0.500 0.000
2 B 0.250 0.750 0.500
3 Ba 0.000 0.000 0.000
4 Ba 0.750 0.250 0.500
5 Ag 0.375 0.125 0.250
6 Ag 0.375 0.625 0.250
7 Ag 0.375 0.625 0.750
8 Ag 0.875 0.625 0.750

Output
space group: No. 141
energy relative to the elements: 0.318 eV per atom



[2]
Entry from Alexandria via LeMat-Bulk: an optimized crystal structure of Tm7Zn2Te2 (PBE-GGA).

Cell: 6.530 7.629 6.530 Å, 89.90 107.52 90.10°
Element x y z (fractional)
1 Tm 0.000 0.292 0.501
2 Tm 0.501 0.708 0.000
3 Tm 0.000 0.708 0.499
4 Tm 0.499 0.292 0.000
5 Tm 0.000 0.000 0.000
6 Tm 0.500 0.719 0.500
7 Tm 0.500 0.281 0.500
8 Zn 0.831 0.500 0.831
9 Zn 0.169 0.500 0.169
10 Te 0.712 0.000 0.288
11 Te 0.288 0.000 0.712

Output
energy above the most stable polymorph in this dataset: 349 meV/atom
formation energy from raw total energies: -2.5 eV/f.u.
space group: No. 12



[3]
Entry from Alexandria via LeMat-Bulk: an optimized crystal structure of AgHg2 (PBE-GGA).

Cell: 6.756 6.756 6.756 Å, 90.00 90.00 90.00°
Element x y z (fractional)
1 Hg 0.250 0.750 0.750
2 Hg 0.250 0.750 0.250
3 Hg 0.250 0.250 0.750
4 Hg 0.250 0.250 0.250
5 Hg 0.750 0.750 0.750
6 Hg 0.750 0.750 0.250
7 Hg 0.750 0.250 0.750
8 Hg 0.750 0.250 0.250
9 Ag 0.000 0.000 0.000
10 Ag 0.000 0.500 0.500
11 Ag 0.500 0.000 0.500
12 Ag 0.500 0.500 0.000

Output
energy above the most stable polymorph in this dataset: 60 meV/atom
space group: No. 225
energy relative to the elements: 0.112 eV per atom



[4]
Entry from Alexandria via LeMat-Bulk: an optimized crystal structure of Zr2Ti4Mn (PBE-GGA).

Cell: 4.411 4.411 7.893 Å, 106.23 106.23 90.00°
Element x y z (fractional)
1 Zr 0.637 0.637 0.273
2 Zr 0.363 0.363 0.727
3 Ti 0.836 0.836 0.673
4 Ti 0.164 0.164 0.327
5 Ti 0.000 0.500 0.000
6 Ti 0.500 0.000 0.000
7 Mn 0.000 0.000 0.000

Output
space group: No. 139
energy relative to the elements: 0.448 eV per atom



[5]
Entry from Alexandria via LeMat-Bulk: an optimized crystal structure of Be2Al2In (PBE-GGA).

Cell: 6.977 6.977 3.128 Å, 90.00 90.00 90.00°
Element x y z (fractional)
1 Be 0.389 0.889 0.000
2 Be 0.889 0.611 0.000
3 Be 0.611 0.111 0.000
4 Be 0.111 0.389 0.000
5 Al 0.176 0.676 0.500
6 Al 0.676 0.824 0.500
7 Al 0.824 0.324 0.500
8 Al 0.324 0.176 0.500
9 In 0.000 0.000 0.000
10 In 0.500 0.500 0.000

Output
energy above the most stable polymorph in this dataset: 0 meV/atom
space group: No. 127
energy relative to the elements: 0.343 eV per atom



[6]
Entry from Alexandria via LeMat-Bulk: an optimized crystal structure of Ga2PdAu6 (PBE-GGA).

Cell: 4.589 6.750 8.222 Å, 111.34 90.00 109.87°
Element x y z (fractional)
1 Ga 0.811 0.621 0.884
2 Ga 0.189 0.379 0.116
3 Pd 0.000 0.000 0.500
4 Au 0.994 0.987 0.826
5 Au 0.785 0.570 0.202
6 Au 0.215 0.430 0.798
7 Au 0.577 0.153 0.686
8 Au 0.423 0.847 0.314
9 Au 0.006 0.013 0.174

Output
space group: No. 12
energy relative to the elements: 0.061 eV per atom



Number 1: total moment 0.0 μB per formula unit. Number 2: total moment 0.0 μB per formula unit. Number 3: total moment 0.0 μB per formula unit. Number 4: total moment 2.0 μB per formula unit. Number 5: total moment 0.0 μB per formula unit. Number 6: total moment 0.0 μB per formula unit.